Material: La5SmMg
Method: DFT, PBE
State: relaxed

The space group is C2/c, No. 15. Its density of states at the Fermi level is 1.673 states/eV/atom. For the energy above the most stable polymorph in this dataset, the calculation gives 0.0490 eV/atom.

a b c (Å): 8.201 8.201 8.236
angles (deg): 104.03 104.03 104.59
Fractional coordinates of all 14 atoms:
1 La 0.087 0.913 0.750
2 La 0.247 0.330 0.160
3 La 0.250 0.582 0.916
4 La 0.330 0.247 0.660
5 La 0.418 0.750 0.584
6 La 0.582 0.250 0.416
7 La 0.670 0.753 0.340
8 La 0.750 0.418 0.084
9 La 0.753 0.670 0.840
10 La 0.913 0.087 0.250
11 Sm 0.163 0.837 0.250
12 Sm 0.837 0.163 0.750
13 Mg 0.000 0.500 0.500
14 Mg 0.500 0.000 0.000